[1]
Entry from the Open Quantum Materials Database: a relaxed structure of NaErSeO (PBE).

abc: 3.9645 3.9645 10.6484
angles: 99.94 99.94 89.95
Atoms (fractional coordinates):
1 Na 0.2054 0.2054 0.4020
2 Na 0.7946 0.7946 0.5980
3 Er 0.5239 0.0731 0.1007
4 Er 0.9269 0.4761 0.8993
5 Se 0.3334 0.3321 0.6895
6 Se 0.6679 0.6666 0.3105
7 O 0.4728 0.5272 0.0000
8 O 0.9738 0.0262 0.0000



[2]
Entry from the Open Quantum Materials Database: a relaxed structure of YMgCuSb (PBE).

abc: 5.0138 5.0138 5.0138
angles: 60.00 60.00 60.00
Atoms (fractional coordinates):
1 Y 0.0000 0.0000 0.0000
2 Mg 0.7500 0.7500 0.7500
3 Cu 0.5000 0.5000 0.5000
4 Sb 0.2500 0.2500 0.2500



[3]
Entry from the Open Quantum Materials Database: a relaxed structure of La3Ho2ErCoTe2 (PBE).

abc: 4.0895 8.5176 8.5176
angles: 119.98 90.00 90.00
Atoms (fractional coordinates):
1 La 0.0000 0.0000 0.0000
2 La 0.0000 0.1951 0.5974
3 La 0.0000 0.5974 0.1951
4 Ho 0.5000 0.5974 0.8241
5 Ho 0.5000 0.8241 0.5974
6 Er 0.5000 0.3711 0.3711
7 Co 0.0000 0.5964 0.5964
8 Te 0.5000 0.2641 0.9309
9 Te 0.5000 0.9309 0.2641



| no. | energy (eV/atom) |
| --- | --- |
| 1 | -5.8808 |
| 2 | -4.0202 |
| 3 | -5.3838 |